18
Lattice="-4.356 4.356 8.254 4.356 -4.356 8.254 4.356 4.356 -8.254" Properties=species:S:1:pos:R:3 comment="Tl3HgBr5 (PBE-GGA, relaxed)" magmom_total_mub_per_fu=0.00 formation_energy_uncorrected_ev_per_fu=-6.31 pbc="T T T"
Tl 5.710 1.354 0.000
Tl 0.000 0.000 4.127
Tl 1.354 3.002 0.000
Tl 3.002 1.354 8.254
Tl 0.000 0.000 12.380
Tl -1.354 3.002 8.254
Hg 4.356 0.000 4.127
Hg 0.000 4.356 4.127
Br 0.000 0.000 0.000
Br 2.893 1.462 -2.443
Br 2.893 -1.462 5.810
Br 2.893 1.462 2.443
Br 2.893 -1.462 10.697
Br 0.000 0.000 8.254
Br 1.462 5.818 -2.443
Br 1.462 2.893 5.810
Br 1.462 5.818 2.443
Br 1.462 2.893 10.697